A relaxed LiZn2Pt crystal. Source: the Open Quantum Materials Database, functional PBE.

a = 3.8765 Å, b = 3.8765 Å, c = 3.7101 Å
α = 90.00°, β = 90.00°, γ = 90.00°
Last column: nearest neighbours and their distance in Å.
Atoms (fractional coordinates):
1 Li 0.0000 0.0000 0.0000  8 Zn 2.68, 4 Pt 2.74
2 Zn 0.0000 0.5000 0.5000  4 Pt 2.68, 4 Li 2.68, 4 Zn 2.74
3 Zn 0.5000 0.0000 0.5000  4 Pt 2.68, 4 Li 2.68, 4 Zn 2.74
4 Pt 0.5000 0.5000 0.0000  8 Zn 2.68, 4 Li 2.74

Results
**Total energy**: -3.1060 eV per atom
**SG**: No. 123